## KSrGe4 (PBE)

Data for an optimized crystal structure of KSrGe4.

Computed properties:
Its total energy is -0.2717 Ry per atom. The value obtained for the formation energy is -156 meV/atom.

CIF file:
```
data_KSrGe4
_chemical_formula_sum 'K4 Sr4 Ge16'
_cell_length_a 8.380
_cell_length_b 8.380
_cell_length_c 8.380
_cell_angle_alpha 90.00
_cell_angle_beta 90.00
_cell_angle_gamma 90.00
_space_group_name_H-M_alt 'F -4 3 m'
_space_group_IT_number 216
_space_group_name_Hall 'F -4 2 3'
loop_
_atom_site_label
_atom_site_type_symbol
_atom_site_fract_x
_atom_site_fract_y
_atom_site_fract_z
K1 K 0.000 0.000 0.000
Sr1 Sr 0.250 0.250 0.750
Ge1 Ge 0.118 0.118 0.382
```